No. 1
The following is a PBE-GGA calculation of TbTmB4 after structural relaxation, from OQMD.

The structure in CIF format:
```
data_TbTmB4
_chemical_formula_sum 'Tb1 Tm1 B4'
_space_group_name_H-M_alt 'P 6/m m m'
_space_group_IT_number 191
_space_group_name_Hall '-P 6 2'
_cell_length_a 3.2809
_cell_length_b 3.2809
_cell_length_c 7.6578
_cell_angle_alpha 90.00
_cell_angle_beta 90.00
_cell_angle_gamma 120.00
loop_
_atom_site_label
_atom_site_fract_x
_atom_site_fract_y
_atom_site_fract_z
Tb1 0.0000 0.0000 0.0000
Tm1 0.0000 0.0000 0.5000
B1 0.3333 0.6667 0.2559
```

Output
- energy relative to the lowest polymorph listed for this composition (eV per formula unit) = 0.000

No. 2
The following is a PBE-GGA calculation of TbTmB4 after structural relaxation, from OQMD.

The structure in CIF format:
```
data_TbTmB4
_chemical_formula_sum 'Tb2 Tm2 B8'
_space_group_name_H-M_alt 'I m m m'
_space_group_IT_number 71
_space_group_name_Hall '-I 2 2'
_cell_length_a 3.282
_cell_length_b 5.684
_cell_length_c 7.663
_cell_angle_alpha 90.00
_cell_angle_beta 90.00
_cell_angle_gamma 90.00
loop_
_atom_site_label
_atom_site_fract_x
_atom_site_fract_y
_atom_site_fract_z
Tb1 0.000 0.000 0.000
Tm1 0.000 0.000 0.500
B1 0.000 0.333 0.249
```

Output
- energy relative to the lowest polymorph listed for this composition (eV per formula unit) = 0.030

No. 3
The following is a PBE-GGA calculation of TbUB after structural relaxation, from OQMD.

The structure in CIF format:
```
data_TbUB
_chemical_formula_sum 'Tb4 U4 B4'
_space_group_name_H-M_alt 'F -4 3 m'
_space_group_IT_number 216
_space_group_name_Hall 'F -4 2 3'
_cell_length_a 6.228
_cell_length_b 6.228
_cell_length_c 6.228
_cell_angle_alpha 90.00
_cell_angle_beta 90.00
_cell_angle_gamma 90.00
loop_
_atom_site_label
_atom_site_fract_x
_atom_site_fract_y
_atom_site_fract_z
Tb1 0.000 0.000 0.000
U1 0.000 0.000 0.500
B1 0.250 0.250 0.250
```

Output
- energy relative to the lowest polymorph listed for this composition (eV per formula unit) = 0.000

No. 4
The following is a PBE-GGA calculation of TbB3W after structural relaxation, from OQMD.

The structure in CIF format:
```
data_TbB3W
_chemical_formula_sum 'Tb2 B6 W2'
_space_group_name_H-M_alt 'P 1 21/m 1'
_space_group_IT_number 11
_cell_length_a 5.467
_cell_length_b 3.166
_cell_length_c 6.852
_cell_angle_alpha 90.00
_cell_angle_beta 102.46
_cell_angle_gamma 90.00
loop_
_space_group_symop_operation_xyz
'x,y,z'
'-x,-y,-z'
'-x,y+1/2,-z'
'x,-y+1/2,z'
loop_
_atom_site_label
_atom_site_fract_x
_atom_site_fract_y
_atom_site_fract_z
Tb1 0.173 0.250 0.207
B1 0.083 0.750 0.493
B2 0.413 0.750 0.494
B3 0.417 0.750 0.974
W1 0.313 0.250 0.719
```

Output
- VASP energy (eV/atom) = -8.09

No. 5
The following is a PBE-GGA calculation of Tb3B7W after structural relaxation, from OQMD.

The structure in CIF format:
```
data_Tb3B7W
_chemical_formula_sum 'Tb12 B28 W4'
_space_group_name_H-M_alt 'C m c m'
_space_group_IT_number 63
_space_group_name_Hall '-C 2c 2'
_cell_length_a 3.477
_cell_length_b 16.067
_cell_length_c 9.510
_cell_angle_alpha 90.00
_cell_angle_beta 90.00
_cell_angle_gamma 90.00
loop_
_atom_site_label
_atom_site_fract_x
_atom_site_fract_y
_atom_site_fract_z
Tb1 0.000 0.107 0.061
Tb2 0.000 0.244 0.750
B1 0.000 0.273 0.033
B2 0.000 0.365 0.147
B3 0.000 0.457 0.750
B4 0.000 0.480 0.092
W1 0.000 0.054 0.750
```

Output
- VASP energy (eV/atom) = -7.25

No. 6
The following is a PBE-GGA calculation of TbBW after structural relaxation, from OQMD.

The structure in CIF format:
```
data_TbBW
_chemical_formula_sum 'Tb4 B4 W4'
_space_group_name_H-M_alt 'F -4 3 m'
_space_group_IT_number 216
_space_group_name_Hall 'F -4 2 3'
_cell_length_a 5.884
_cell_length_b 5.884
_cell_length_c 5.884
_cell_angle_alpha 90.00
_cell_angle_beta 90.00
_cell_angle_gamma 90.00
loop_
_atom_site_label
_atom_site_fract_x
_atom_site_fract_y
_atom_site_fract_z
Tb1 0.000 0.000 0.000
B1 0.250 0.250 0.250
W1 0.000 0.000 0.500
```

Output
- VASP energy (eV/atom) = -7.52

No. 7
The following is a PBE-GGA calculation of TbYB after structural relaxation, from OQMD.

The structure in CIF format:
```
data_TbYB
_chemical_formula_sum 'Tb4 Y4 B4'
_space_group_name_H-M_alt 'F -4 3 m'
_space_group_IT_number 216
_space_group_name_Hall 'F -4 2 3'
_cell_length_a 6.428
_cell_length_b 6.428
_cell_length_c 6.428
_cell_angle_alpha 90.00
_cell_angle_beta 90.00
_cell_angle_gamma 90.00
loop_
_atom_site_label
_atom_site_fract_x
_atom_site_fract_y
_atom_site_fract_z
Tb1 0.000 0.000 0.000
Y1 0.000 0.000 0.500
B1 0.250 0.250 0.750
```

Output
- energy relative to the lowest polymorph listed for this composition (eV per formula unit) = 0.000

No. 8
The following is a PBE-GGA calculation of Tb3Y3B after structural relaxation, from OQMD.

The structure in CIF format:
```
data_Tb3Y3B
_chemical_formula_sum 'Tb12 Y12 B4'
_space_group_name_H-M_alt 'C m c m'
_space_group_IT_number 63
_space_group_name_Hall '-C 2c 2'
_cell_length_a 3.439
_cell_length_b 12.900
_cell_length_c 17.588
_cell_angle_alpha 90.00
_cell_angle_beta 90.00
_cell_angle_gamma 90.00
loop_
_atom_site_label
_atom_site_fract_x
_atom_site_fract_y
_atom_site_fract_z
Tb1 0.000 0.126 0.078
Tb2 0.000 0.253 0.250
Y1 0.000 0.119 0.598
Y2 0.000 0.480 0.750
B1 0.000 0.500 0.000
```

Output
- VASP energy (eV/atom) = -5.62

No. 9
The following is a PBE-GGA calculation of TbY2B4 after structural relaxation, from OQMD.

The structure in CIF format:
```
data_TbY2B4
_chemical_formula_sum 'Tb2 Y4 B8'
_space_group_name_H-M_alt 'C m m m'
_space_group_IT_number 65
_space_group_name_Hall '-C 2 2'
_cell_length_a 6.420
_cell_length_b 8.593
_cell_length_c 3.943
_cell_angle_alpha 90.00
_cell_angle_beta 90.00
_cell_angle_gamma 90.00
loop_
_atom_site_label
_atom_site_fract_x
_atom_site_fract_y
_atom_site_fract_z
Tb1 0.000 0.000 0.000
Y1 0.250 0.250 0.500
B1 0.000 0.334 0.000
B2 0.000 0.500 0.256
```

Output
- VASP energy (eV/atom) = -6.46

No. 10
The following is a PBE-GGA calculation of TbZnB4 after structural relaxation, from OQMD.

The structure in CIF format:
```
data_TbZnB4
_chemical_formula_sum 'Tb1 Zn1 B4'
_space_group_name_H-M_alt 'P 6/m m m'
_space_group_IT_number 191
_space_group_name_Hall '-P 6 2'
_cell_length_a 3.1805
_cell_length_b 3.1805
_cell_length_c 7.1835
_cell_angle_alpha 90.00
_cell_angle_beta 90.00
_cell_angle_gamma 120.00
loop_
_atom_site_label
_atom_site_fract_x
_atom_site_fract_y
_atom_site_fract_z
Tb1 0.0000 0.0000 0.0000
Zn1 0.0000 0.0000 0.5000
B1 0.3333 0.6667 0.2720
```

Output
- energy relative to the lowest polymorph listed for this composition (eV per formula unit) = 0.526

No. 11
The following is a PBE-GGA calculation of TbZnB after structural relaxation, from OQMD.

The structure in CIF format:
```
data_TbZnB
_chemical_formula_sum 'Tb4 Zn4 B4'
_space_group_name_H-M_alt 'F -4 3 m'
_space_group_IT_number 216
_space_group_name_Hall 'F -4 2 3'
_cell_length_a 5.985
_cell_length_b 5.985
_cell_length_c 5.985
_cell_angle_alpha 90.00
_cell_angle_beta 90.00
_cell_angle_gamma 90.00
loop_
_atom_site_label
_atom_site_fract_x
_atom_site_fract_y
_atom_site_fract_z
Tb1 0.000 0.000 0.000
Zn1 0.250 0.250 0.750
B1 0.000 0.000 0.500
```

Output
- energy relative to the lowest polymorph listed for this composition (eV per formula unit) = 1.607

No. 12
The following is a PBE-GGA calculation of TbZnB after structural relaxation, from OQMD.

The structure in CIF format:
```
data_TbZnB
_chemical_formula_sum 'Tb4 Zn4 B4'
_space_group_name_H-M_alt 'F -4 3 m'
_space_group_IT_number 216
_space_group_name_Hall 'F -4 2 3'
_cell_length_a 5.908
_cell_length_b 5.908
_cell_length_c 5.908
_cell_angle_alpha 90.00
_cell_angle_beta 90.00
_cell_angle_gamma 90.00
loop_
_atom_site_label
_atom_site_fract_x
_atom_site_fract_y
_atom_site_fract_z
Tb1 0.000 0.000 0.000
Zn1 0.000 0.000 0.500
B1 0.250 0.250 0.250
```

Output
- energy relative to the lowest polymorph listed for this composition (eV per formula unit) = 0.000

No. 13
The following is a PBE-GGA calculation of TbZnB4 after structural relaxation, from OQMD.

The structure in CIF format:
```
data_TbZnB4
_chemical_formula_sum 'Tb2 Zn2 B8'
_space_group_name_H-M_alt 'I m m m'
_space_group_IT_number 71
_space_group_name_Hall '-I 2 2'
_cell_length_a 3.186
_cell_length_b 5.256
_cell_length_c 7.892
_cell_angle_alpha 90.00
_cell_angle_beta 90.00
_cell_angle_gamma 90.00
loop_
_atom_site_label
_atom_site_fract_x
_atom_site_fract_y
_atom_site_fract_z
Tb1 0.000 0.000 0.000
Zn1 0.000 0.000 0.500
B1 0.000 0.323 0.261
```

Output
- energy relative to the lowest polymorph listed for this composition (eV per formula unit) = 0.000

Computed M_tot, in the same sequence as the records: 0.00; 0.00; 0.65; 0.00; 0.00; 0.00; 0.00; 0.17; 0.00; 0.00; 0.00; 0.00; 0.00 μB/atom.